# 1
DFT (PBE-GGA) results for a geometry-optimized TlB structure.

Formation energy (kcal/mol of atoms): 11.25
Distance to the lowest polymorph of the same formula (meV per atom): 0

abc: 10.7777 10.7777 3.1730
angles: 90.00 90.00 90.00
With the nearest neighbours (Å) after each atom.
Positions (direct):
Tl 0.1605 0.4317 0.5000  2 B 2.67-2.70
Tl 0.2220 0.0494 0.0000  1 B 2.62
Tl 0.8395 0.5683 0.5000  2 B 2.67-2.70
Tl 0.5683 0.1605 0.5000  2 B 2.67-2.70
Tl 0.4317 0.8395 0.5000  2 B 2.67-2.70
Tl 0.9506 0.2220 0.0000  1 B 2.62
Tl 0.0494 0.7780 0.0000  1 B 2.62
Tl 0.7780 0.9506 0.0000  1 B 2.62
B 0.6596 0.7421 0.5000  2 B 1.59
B 0.7391 0.3414 0.0000  2 B 1.59
B 0.2579 0.6596 0.5000  2 B 1.59
B 0.3414 0.2609 0.0000  2 B 1.59
B 0.7421 0.3404 0.5000  2 B 1.59
B 0.6586 0.7391 0.0000  2 B 1.59
B 0.3404 0.2579 0.5000  2 B 1.59
B 0.2609 0.6586 0.0000  2 B 1.59

***

# 2
DFT (PBE-GGA) results for a geometry-optimized CsCaH structure.

Distance to the lowest polymorph of the same formula (meV per atom): 7

abc: 4.4280 4.4280 7.3340
angles: 90.00 90.00 120.00
With the nearest neighbours (Å) after each atom.
Positions (direct):
H 0.3333 0.6667 0.5567  1 Ca 2.17
Cs 0.0000 0.0000 0.7353  3 H 2.87
Ca 0.3333 0.6667 0.2601  1 H 2.17

***

VASP energy? In order: -4.034 -2.061 eV/atom.